Entry 1:
Below is SrEr4Ge4 after structural relaxation, with properties calculated at the GGA-PBE level.

Structure (POSCAR):
```
SrEr4Ge4
1.0
9.493 0.000 0.000
0.000 9.493 0.000
0.000 0.000 5.716
Sr Er Ge
2 8 8
Direct
0.250 0.250 0.250
0.750 0.750 0.750
0.113 0.631 0.136
0.131 0.887 0.636
0.369 0.613 0.636
0.387 0.869 0.136
0.613 0.131 0.864
0.631 0.387 0.364
0.869 0.113 0.364
0.887 0.369 0.864
0.065 0.582 0.650
0.082 0.935 0.150
0.418 0.565 0.150
0.435 0.918 0.650
0.565 0.082 0.350
0.582 0.435 0.850
0.918 0.065 0.850
0.935 0.418 0.350
```

Entry 2:
Below is SrErGe2 after structural relaxation, with properties calculated at the GGA-PBE level.

Structure (POSCAR):
```
SrErGe2
1.0
2.351 1.358 5.803
-2.351 1.358 5.803
0.000 -2.715 5.803
Sr Er Ge
1 1 2
Direct
0.000 0.000 0.000
0.500 0.500 0.500
0.230 0.230 0.230
0.770 0.770 0.770
```

Entry 3:
Below is ErTa4Ge2 after structural relaxation, with properties calculated at the GGA-PBE level.

Structure (POSCAR):
```
ErTa4Ge2
1.0
1.843 -8.441 0.000
1.843 8.441 0.000
0.000 0.000 4.318
Er Ta Ge
1 4 2
Direct
0.000 0.000 0.000
0.184 0.816 0.500
0.322 0.678 0.000
0.678 0.322 0.000
0.816 0.184 0.500
0.427 0.573 0.500
0.573 0.427 0.500
```

Entry 4:
Below is ErTaGe after structural relaxation, with properties calculated at the GGA-PBE level.

Structure (POSCAR):
```
ErTaGe
1.0
2.045 1.181 10.091
-2.045 1.181 10.091
0.000 -2.362 10.091
Er Ta Ge
2 2 2
Direct
0.117 0.117 0.117
0.883 0.883 0.883
0.306 0.306 0.306
0.694 0.694 0.694
0.397 0.397 0.397
0.603 0.603 0.603
```

It is found that the energy relative to the elements values, taken in the order of the records, are -5.661 -1.813 -2.154 -0.369 eV per formula unit.